1.
# Mg2Se GGA-PBEsol optimized geometry
data_Mg2Se
_chemical_formula_sum 'Mg4 Se2'
_cell_length_a 3.410
_cell_length_b 3.410
_cell_length_c 11.091
_cell_angle_alpha 90.00
_cell_angle_beta 90.00
_cell_angle_gamma 90.00
_symmetry_space_group_name_H-M 'I 4/m m m'
_symmetry_Int_Tables_number 139
_symmetry_space_group_name_Hall '-I 4 2'
loop_
_atom_site_label
_atom_site_fract_x
_atom_site_fract_y
_atom_site_fract_z
Mg1 0.000 0.000 0.142
Se1 0.000 0.000 0.500
# N(E_F) ... 2.43 states/eV/cell
# Total moment ... 0.0 μB/cell
# Density ... 3.3 g/cm3
# Energy relative to the elements, uncorrected ... -0.475 eV per atom

***

2.
# MgSe2 GGA-PBEsol optimized geometry
data_MgSe2
_chemical_formula_sum 'Mg4 Se8'
_cell_length_a 3.610
_cell_length_b 20.305
_cell_length_c 3.755
_cell_angle_alpha 90.00
_cell_angle_beta 90.00
_cell_angle_gamma 90.00
_symmetry_space_group_name_H-M 'C m c m'
_symmetry_Int_Tables_number 63
_symmetry_space_group_name_Hall '-C 2c 2'
loop_
_atom_site_label
_atom_site_fract_x
_atom_site_fract_y
_atom_site_fract_z
Mg1 0.000 0.094 0.250
Se1 0.000 0.264 0.750
Se2 0.000 0.423 0.250
# N(E_F) ... 4.85 states/eV/cell
# Total moment ... 0.0 μB/cell
# Density ... 4.4 g/cm3
# Energy relative to the elements, uncorrected ... -0.535 eV per atom

***

3.
# MgSe3 GGA-PBEsol optimized geometry
data_MgSe3
_chemical_formula_sum 'Mg3 Se9'
_cell_length_a 4.0775
_cell_length_b 4.0775
_cell_length_c 18.0484
_cell_angle_alpha 90.00
_cell_angle_beta 90.00
_cell_angle_gamma 120.00
_symmetry_space_group_name_H-M 'R -3 m'
_symmetry_Int_Tables_number 166
_symmetry_space_group_name_Hall '-R 3 2"'
loop_
_atom_site_label
_atom_site_fract_x
_atom_site_fract_y
_atom_site_fract_z
Mg1 0.0000 0.0000 0.0000
Se1 0.0000 0.0000 0.2537
Se2 0.0000 0.0000 0.5000
# N(E_F) ... 10.76 states/eV/cell
# Total moment ... 0.0 μB/cell
# Density ... 5.0 g/cm3
# Energy relative to the elements, uncorrected ... -0.235 eV per atom

***

4.
# Mg3Se GGA-PBEsol optimized geometry
data_Mg3Se
_chemical_formula_sum 'Mg3 Se1'
_cell_length_a 3.434
_cell_length_b 3.434
_cell_length_c 7.322
_cell_angle_alpha 90.00
_cell_angle_beta 90.00
_cell_angle_gamma 90.00
_symmetry_space_group_name_H-M 'P 4/m m m'
_symmetry_Int_Tables_number 123
_symmetry_space_group_name_Hall '-P 4 2'
loop_
_atom_site_label
_atom_site_fract_x
_atom_site_fract_y
_atom_site_fract_z
Mg1 0.000 0.000 0.000
Mg2 0.500 0.500 0.289
Se1 0.000 0.000 0.500
# N(E_F) ... 1.94 states/eV/cell
# Total moment ... 0.0 μB/cell
# Density ... 2.9 g/cm3
# Energy relative to the elements, uncorrected ... -0.341 eV per atom

***

5.
# MgSe3 GGA-PBEsol optimized geometry
data_MgSe3
_chemical_formula_sum 'Mg4 Se12'
_cell_length_a 3.672
_cell_length_b 3.672
_cell_length_c 30.358
_cell_angle_alpha 90.00
_cell_angle_beta 90.00
_cell_angle_gamma 90.00
_symmetry_space_group_name_H-M 'I 4/m m m'
_symmetry_Int_Tables_number 139
_symmetry_space_group_name_Hall '-I 4 2'
loop_
_atom_site_label
_atom_site_fract_x
_atom_site_fract_y
_atom_site_fract_z
Mg1 0.000 0.000 0.126
Se1 0.000 0.000 0.375
Se2 0.000 0.500 0.000
Se3 0.000 0.500 0.250
# N(E_F) ... 11.16 states/eV/cell
# Total moment ... 0.0 μB/cell
# Density ... 4.2 g/cm3
# Energy relative to the elements, uncorrected ... -0.333 eV per atom

***

6.
# MgSe3 GGA-PBEsol optimized geometry
data_MgSe3
_chemical_formula_sum 'Mg1 Se3'
_cell_length_a 3.7043
_cell_length_b 3.7043
_cell_length_c 7.1953
_cell_angle_alpha 90.00
_cell_angle_beta 90.00
_cell_angle_gamma 120.00
_symmetry_space_group_name_H-M 'P -6 m 2'
_symmetry_Int_Tables_number 187
_symmetry_space_group_name_Hall 'P -6 2'
loop_
_atom_site_label
_atom_site_fract_x
_atom_site_fract_y
_atom_site_fract_z
Mg1 0.0000 0.0000 0.0000
Se1 0.0000 0.0000 0.5000
Se2 0.3333 0.6667 0.2276
# N(E_F) ... 2.87 states/eV/cell
# Total moment ... 0.0 μB/cell
# Density ... 5.1 g/cm3
# Energy relative to the elements, uncorrected ... -0.170 eV per atom

***

- Look up the N(E_F) of the fifth one.
  11.16 states/eV/cell

***

- The highest energy relative to the elements, uncorrected belongs to which entry?
  number 6

***

Please write out number 2 again, unchanged.
# MgSe2 GGA-PBEsol optimized geometry
data_MgSe2
_chemical_formula_sum 'Mg4 Se8'
_cell_length_a 3.610
_cell_length_b 20.305
_cell_length_c 3.755
_cell_angle_alpha 90.00
_cell_angle_beta 90.00
_cell_angle_gamma 90.00
_symmetry_space_group_name_H-M 'C m c m'
_symmetry_Int_Tables_number 63
_symmetry_space_group_name_Hall '-C 2c 2'
loop_
_atom_site_label
_atom_site_fract_x
_atom_site_fract_y
_atom_site_fract_z
Mg1 0.000 0.094 0.250
Se1 0.000 0.264 0.750
Se2 0.000 0.423 0.250
# N(E_F) ... 4.85 states/eV/cell
# Total moment ... 0.0 μB/cell
# Density ... 4.4 g/cm3
# Energy relative to the elements, uncorrected ... -0.535 eV per atom

***

- Look up the energy relative to the elements, uncorrected of the sixth one.
  -0.170 eV per atom